(1)
Zn2RhSe | PBE | optimized geometry

a = 7.171 Å, b = 7.171 Å, c = 5.234 Å
α = 90.00°, β = 90.00°, γ = 90.00°
Space group I-42d (No. 122)
Unique sites:
1 Zn 0.248 0.250 0.125
2 Rh 0.000 0.000 0.500
3 Se 0.000 0.000 0.000


(2)
Na3InI | PBE | optimized geometry

Summary:
Its relative energy among the computed polymorphs is 0.000 eV per atom.

a = 5.933 Å, b = 5.933 Å, c = 5.933 Å
α = 90.00°, β = 90.00°, γ = 90.00°
Space group Pm-3m (No. 221)
Unique sites:
1 Na 0.000 0.000 0.500
2 In 0.500 0.500 0.500
3 I 0.000 0.000 0.000


(3)
CsGaTe | PBE | optimized geometry

Summary:
Its relative energy among the computed polymorphs is 0.000 eV per atom.

a = 14.596 Å, b = 4.351 Å, c = 10.319 Å
α = 90.00°, β = 128.98°, γ = 90.00°
Space group C2/m (No. 12)
Unique sites:
1 Cs 0.201 0.000 0.187
2 Ga 0.056 0.000 0.439
3 Te 0.012 0.500 0.774


For reference, formation energy from raw total energies by record: 0.024; -0.197; -0.621 eV/atom.
For reference, magnetization by record: 0.00; 0.00; 0.00 μB per formula unit.